#w
# NaAsCl4 (GGA-PBE, optimized geometry)
# **Calculated density**: 2.137 g/cm3
# **Total moment**: 0.00 μB/atom
data_NaAsCl4
_cell_length_a 4.2452
_cell_length_b 6.6334
_cell_length_c 7.0222
_cell_angle_alpha 84.09
_cell_angle_beta 89.99
_cell_angle_gamma 71.34
_space_group_name_H-M_alt 'P 1'
_space_group_IT_number 1
loop_
_space_group_symop_operation_xyz
'x,y,z'
loop_
_atom_site_label
_atom_site_type_symbol
_atom_site_fract_x
_atom_site_fract_y
_atom_site_fract_z
Na1 Na 0.0000 0.0000 0.0000
As1 As 0.4610 0.0009 0.4997
Cl1 Cl 0.9999 0.2380 0.6041
Cl2 Cl 0.2374 0.7636 0.3953
Cl3 Cl 0.3923 0.2051 0.1748
Cl4 Cl 0.5963 0.7963 0.8246


#x
# NaAsCl4 (GGA-PBE, optimized geometry)
# **Calculated density**: 2.224 g/cm3
# **Total moment**: 0.00 μB/atom
data_NaAsCl4
_cell_length_a 8.1519
_cell_length_b 16.3715
_cell_length_c 6.6800
_cell_angle_alpha 90.00
_cell_angle_beta 126.59
_cell_angle_gamma 90.00
_space_group_name_H-M_alt 'C 1 2/c 1'
_space_group_IT_number 15
loop_
_space_group_symop_operation_xyz
'x,y,z'
'-x,-y,-z'
'-x,y,-z+1/2'
'x,-y,z+1/2'
'x+1/2,y+1/2,z'
'-x+1/2,-y+1/2,-z'
'-x+1/2,y+1/2,-z+1/2'
'x+1/2,-y+1/2,z+1/2'
loop_
_atom_site_label
_atom_site_type_symbol
_atom_site_fract_x
_atom_site_fract_y
_atom_site_fract_z
Na1 Na 0.0000 0.0740 0.2500
As1 As 0.0000 0.4246 0.7500
Cl1 Cl 0.1950 0.3304 0.7331
Cl2 Cl 0.2483 0.4458 0.2213


Least stable structure: #w


#w
# NaAsCl2 (GGA-PBE, optimized geometry)
# **Calculated density**: 2.943 g/cm3
# **Total moment**: 0.00 μB/atom
data_NaAsCl2
_cell_length_a 3.6177
_cell_length_b 3.6177
_cell_length_c 25.2138
_cell_angle_alpha 90.00
_cell_angle_beta 90.00
_cell_angle_gamma 120.00
_space_group_name_H-M_alt 'R -3 m'
_space_group_IT_number 166
_space_group_name_Hall '-R 3 2"'
loop_
_atom_site_label
_atom_site_type_symbol
_atom_site_fract_x
_atom_site_fract_y
_atom_site_fract_z
Na1 Na 0.0000 0.0000 0.0000
As1 As 0.0000 0.0000 0.5000
Cl1 Cl 0.0000 0.0000 0.4021


#x
# NaAsCl2 (GGA-PBE, optimized geometry)
# **Calculated density**: 2.902 g/cm3
# **Total moment**: 0.00 μB/atom
data_NaAsCl2
_cell_length_a 3.4401
_cell_length_b 3.4401
_cell_length_c 28.2758
_cell_angle_alpha 90.00
_cell_angle_beta 90.00
_cell_angle_gamma 120.00
_space_group_name_H-M_alt 'R -3 m'
_space_group_IT_number 166
_space_group_name_Hall '-R 3 2"'
loop_
_atom_site_label
_atom_site_type_symbol
_atom_site_fract_x
_atom_site_fract_y
_atom_site_fract_z
Na1 Na 0.0000 0.0000 0.0000
As1 As 0.0000 0.0000 0.5000
Cl1 Cl 0.0000 0.0000 0.0877


Least stable structure: #x


#w
# Na2AsCl5 (GGA-PBE, optimized geometry)
# **Calculated density**: 1.478 g/cm3
# **Total moment**: 0.00 μB/atom
data_Na2AsCl5
_cell_length_a 13.3192
_cell_length_b 7.7040
_cell_length_c 7.7021
_cell_angle_alpha 90.00
_cell_angle_beta 122.04
_cell_angle_gamma 90.00
_space_group_name_H-M_alt 'C 1 m 1'
_space_group_IT_number 8
loop_
_space_group_symop_operation_xyz
'x,y,z'
'x,-y,z'
'x+1/2,y+1/2,z'
'x+1/2,-y+1/2,z'
loop_
_atom_site_label
_atom_site_type_symbol
_atom_site_fract_x
_atom_site_fract_y
_atom_site_fract_z
Na1 Na 0.0000 0.0000 0.0000
Na2 Na 0.9997 0.5000 0.4998
As1 As 0.4790 0.0000 0.9808
Cl1 Cl 0.2835 0.0000 0.8036
Cl2 Cl 0.4936 0.2319 0.7622
Cl3 Cl 0.4963 0.2321 0.2286


#x
# Na2AsCl5 (GGA-PBE, optimized geometry)
# **Calculated density**: 2.020 g/cm3
# **Total moment**: 0.00 μB/atom
data_Na2AsCl5
_cell_length_a 5.3421
_cell_length_b 7.2351
_cell_length_c 7.2669
_cell_angle_alpha 74.79
_cell_angle_beta 71.95
_cell_angle_gamma 68.66
_space_group_name_H-M_alt 'P 1'
_space_group_IT_number 1
loop_
_space_group_symop_operation_xyz
'x,y,z'
loop_
_atom_site_label
_atom_site_type_symbol
_atom_site_fract_x
_atom_site_fract_y
_atom_site_fract_z
Na1 Na 0.0000 0.0000 0.0000
Na2 Na 0.4661 0.3401 0.6831
As1 As 0.6267 0.5570 0.1126
Cl1 Cl 0.2293 0.5664 0.0479
Cl2 Cl 0.4081 0.7027 0.3906
Cl3 Cl 0.5737 0.9332 0.9036
Cl4 Cl 0.6993 0.2279 0.3039
Cl5 Cl 0.9084 0.3733 0.7813


Least stable structure: #w